[1]
Al7In: optimized geometry, PBE.

Summary:
- volume (Å³/cell) = 143.46
- Fermi-level density of states (states/eV/cell) = 4.9
- E_form (eV/atom) = 0.115
- space-group type = Fm-3m, No. 225
- E_tot (eV per formula unit) = -28.01

Cell: 5.876 5.876 5.876 Å, 60.00 60.00 60.00°
Positions (direct):
Al 0.500 0.500 0.000
Al 0.500 0.000 0.500
Al 0.500 0.000 0.000
Al 0.000 0.000 0.500
Al 0.000 0.500 0.000
Al 0.000 0.500 0.500
Al 0.500 0.500 0.500
In 0.000 0.000 0.000

[2]
AlIn5: optimized geometry, PBE.

Summary:
- volume (Å³/cell) = 156.21
- Fermi-level density of states (states/eV/cell) = 2.1
- E_form (eV/atom) = 0.084
- space-group type = Cm, No. 8
- E_tot (eV per formula unit) = -16.93

Cell: 6.264 6.264 7.950 Å, 80.23 80.23 30.57°
Positions (direct):
Al 0.974 0.974 0.045
In 0.710 0.710 0.641
In 0.319 0.319 0.300
In 0.432 0.432 0.751
In 0.043 0.043 0.397
In 0.689 0.689 0.033

[3]
AlIn4: optimized geometry, PBE.

Summary:
- distance to the lowest polymorph of the same formula (meV/atom) = 221.4
- volume (Å³/cell) = 155.33
- Fermi-level density of states (states/eV/cell) = 4.0
- E_form (eV/atom) = 0.331
- space-group type = Pm-3m, No. 221
- E_tot (eV per formula unit) = -13.04

Cell: 5.375 5.375 5.375 Å, 90.00 90.00 90.00°
Positions (direct):
Al 0.500 0.500 0.500
In 0.000 0.000 0.000
In 0.500 0.000 0.500
In 0.000 0.500 0.500
In 0.500 0.500 0.000

[4]
AlIn2: optimized geometry, PBE.

Summary:
- volume (Å³/cell) = 322.88
- Fermi-level density of states (states/eV/cell) = 5.8
- E_form (eV/atom) = 0.230
- space-group type = Pa-3, No. 205
- E_tot (eV per formula unit) = -8.53

Cell: 6.860 6.860 6.860 Å, 90.00 90.00 90.00°
Positions (direct):
Al 0.000 0.000 0.000
Al 0.500 0.500 0.000
Al 0.500 0.000 0.500
Al 0.000 0.500 0.500
In 0.635 0.635 0.365
In 0.365 0.365 0.635
In 0.135 0.865 0.635
In 0.865 0.135 0.365
In 0.365 0.135 0.135
In 0.635 0.865 0.865
In 0.865 0.365 0.865
In 0.135 0.635 0.135

[5]
Al3In5: optimized geometry, PBE.

Summary:
- distance to the lowest polymorph of the same formula (meV/atom) = 0.0
- volume (Å³/cell) = 187.72
- Fermi-level density of states (states/eV/cell) = 2.9
- E_form (eV/atom) = 0.154
- space-group type = Cmmm, No. 65
- E_tot (eV per formula unit) = -23.69

Cell: 6.613 6.613 4.319 Å, 90.00 90.00 96.33°
Positions (direct):
Al 0.500 0.500 0.000
Al 0.732 0.268 0.500
Al 0.268 0.732 0.500
In 0.000 0.000 0.000
In 0.000 0.500 0.000
In 0.500 0.000 0.000
In 0.260 0.260 0.500
In 0.740 0.740 0.500

[6]
AlIn2: optimized geometry, PBE.

Summary:
- volume (Å³/cell) = 78.67
- Fermi-level density of states (states/eV/cell) = 0.7
- E_form (eV/atom) = 0.188
- space-group type = P4/mmm, No. 123
- E_tot (eV per formula unit) = -8.66

Cell: 4.576 4.576 3.758 Å, 90.00 90.00 90.00°
Positions (direct):
Al 0.000 0.000 0.000
In 0.000 0.500 0.500
In 0.500 0.000 0.500

[7]
Al3In: optimized geometry, PBE.

Summary:
- volume (Å³/cell) = 77.13
- Fermi-level density of states (states/eV/cell) = 0.8
- E_form (eV/atom) = 0.126
- space-group type = Pmmm, No. 47
- E_tot (eV per formula unit) = -13.46

Cell: 3.119 4.039 6.122 Å, 90.00 90.00 90.00°
Positions (direct):
Al 0.500 0.500 0.722
Al 0.000 0.000 0.500
Al 0.500 0.500 0.278
In 0.000 0.000 0.000

[8]
Al3In: optimized geometry, PBE.

Summary:
- volume (Å³/cell) = 77.77
- Fermi-level density of states (states/eV/cell) = 1.6
- E_form (eV/atom) = 0.163
- space-group type = P-6m2, No. 187
- E_tot (eV per formula unit) = -13.32

Cell: 3.006 3.006 9.937 Å, 90.00 90.00 120.00°
Positions (direct):
Al 0.000 0.000 0.017
Al 0.000 0.000 0.483
Al 0.667 0.333 0.250
In 0.667 0.333 0.750

[9]
AlIn5: optimized geometry, PBE.

Summary:
- volume (Å³/cell) = 154.02
- Fermi-level density of states (states/eV/cell) = 2.3
- E_form (eV/atom) = 0.087
- space-group type = Cmmm, No. 65
- E_tot (eV per formula unit) = -16.91

Cell: 4.414 5.236 7.159 Å, 111.45 90.00 90.00°
Positions (direct):
Al 0.000 0.000 0.000
In 0.500 0.844 0.688
In 0.000 0.667 0.334
In 0.500 0.500 0.000
In 0.000 0.333 0.666
In 0.500 0.156 0.312

[10]
AlIn4: optimized geometry, PBE.

Summary:
- distance to the lowest polymorph of the same formula (meV/atom) = 70.6
- volume (Å³/cell) = 140.38
- Fermi-level density of states (states/eV/cell) = 2.5
- E_form (eV/atom) = 0.180
- space-group type = Im-3m, No. 229
- E_tot (eV per formula unit) = -13.80

Cell: 5.671 5.671 5.671 Å, 109.47 109.47 109.47°
Positions (direct):
Al 0.000 0.000 0.000
In 0.500 0.000 0.000
In 0.500 0.500 0.500
In 0.000 0.500 0.000
In 0.000 0.000 0.500

[11]
Al3In: optimized geometry, PBE.

Summary:
- volume (Å³/cell) = 156.22
- Fermi-level density of states (states/eV/cell) = 2.6
- E_form (eV/atom) = 0.166
- space-group type = P6_3/mmc, No. 194
- E_tot (eV per formula unit) = -13.30

Cell: 5.931 5.931 5.128 Å, 90.00 90.00 120.00°
Positions (direct):
Al 0.838 0.675 0.250
Al 0.325 0.162 0.250
Al 0.838 0.162 0.250
Al 0.162 0.325 0.750
Al 0.675 0.838 0.750
Al 0.162 0.838 0.750
In 0.333 0.667 0.250
In 0.667 0.333 0.750

[12]
Al5In3: optimized geometry, PBE.

Summary:
- volume (Å³/cell) = 345.77
- Fermi-level density of states (states/eV/cell) = 7.1
- E_form (eV/atom) = 0.205
- space-group type = P6_3/mcm, No. 193
- E_tot (eV per formula unit) = -25.29

Cell: 8.781 8.781 5.178 Å, 90.00 90.00 120.00°
Positions (direct):
Al 0.333 0.667 0.000
Al 0.667 0.333 0.500
Al 0.667 0.333 0.000
Al 0.333 0.667 0.500
Al 0.186 0.000 0.250
Al 0.814 0.000 0.750
Al 0.000 0.186 0.250
Al 0.814 0.814 0.250
Al 0.186 0.186 0.750
Al 0.000 0.814 0.750
In 0.608 0.000 0.250
In 0.392 0.000 0.750
In 0.000 0.608 0.250
In 0.392 0.392 0.250
In 0.608 0.608 0.750
In 0.000 0.392 0.750